The following is a DFT calculation (PBE-GGA) of a geometry-optimized MgReTe2N structure.

Its energy above the most stable polymorph in this dataset is 0 meV/atom. The space-group type is P4/mmm, No. 123. The total energy comes out at -5.59 eV per atom.

a b c (Å): 5.5034 5.5034 3.7400
angles (deg): 90.00 90.00 90.00
Atoms (fractional coordinates):
Re  0.0000  0.0000  0.0000
Mg  0.5000  0.5000  0.5000
Te  0.0000  0.5000  0.0000
Te  0.5000  0.0000  0.0000
N  0.0000  0.0000  0.5000